A relaxed MnRe2AgO8 crystal, computed with PBE+U.

The space group is P-3m1 (No. 164) and the conventional cell measures 5.9565, 5.9565 and 6.5956 Å, with angles of 90.00, 90.00 and 120.00 degrees. The asymmetric unit holds Mn at (0.0000, 0.0000, 0.0000), Re at (0.3333, 0.6667, 0.2765), Ag at (0.0000, 0.0000, 0.5000), O at (0.1681, 0.3363, 0.1971) and O at (0.3333, 0.6667, 0.5415).

Its total moment is 4.143 μB/cell. Its total energy is -7.624 eV per atom.


A relaxed RuWF3 crystal, computed with PBE+U.

The space group is Pm-3m (No. 221) and the conventional cell measures 4.171, 4.171 and 4.171 Å, with angles of 90.00, 90.00 and 90.00 degrees. The asymmetric unit holds Ru at (0.000, 0.000, 0.000), W at (0.500, 0.500, 0.500) and F at (0.000, 0.500, 0.500).

For the offset from the most stable computed form, the calculation gives 250 meV/atom. Its total moment is 0.175 μB/cell. Its total energy is -4.351 eV per atom.


Number 1: density 5.434 Mg/m³. Number 2: density 7.822 Mg/m³.